# 1
Density functional theory data (GGA-PBE) for a relaxed MnRh3 crystal.

Summary:
- total energy (eV per atom) = -7.66
- ΔH_f (0 K) (eV/f.u.) = 0.57
- N(E_F) (states/eV per cell) = 6.72
- SG = No. 166

POSCAR file:
```
MnRh3
1.0
5.0372 0.0020 0.0065
-2.2733 4.4950 0.0065
-2.2733 -3.6989 2.5540
Mn Rh
1 3
Direct
0.0000 0.0000 0.0000
0.0000 0.5000 0.5000
0.5000 0.0000 0.5000
0.5000 0.5000 0.0000
```

---

# 2
Density functional theory data (GGA-PBE) for a relaxed Tb2Sm2Ru3 crystal.

Summary:
- total energy (eV per atom) = -6.86
- relative energy among the computed polymorphs (meV per atom) = 32
- ΔH_f (0 K) (eV/f.u.) = -1.51
- N(E_F) (states/eV per cell) = 5.65
- SG = No. 12

POSCAR file:
```
Tb2Sm2Ru3
1.0
4.7186 0.0017 -1.3151
-2.5411 4.1878 -0.0021
-0.2398 -0.1448 8.2368
Tb Sm Ru
2 2 3
Direct
0.7499 0.3749 0.1254
0.2501 0.6251 0.8746
0.2489 0.1246 0.3748
0.7511 0.8754 0.6252
0.0000 0.0000 0.0000
0.5053 0.2530 0.7569
0.4947 0.7470 0.2431
```

---

# 3
Density functional theory data (GGA-PBE) for a relaxed NdZr2Cd crystal.

Summary:
- total energy (eV per atom) = -5.43
- ΔH_f (0 K) (eV/f.u.) = 1.07
- N(E_F) (states/eV per cell) = 5.28
- SG = No. 166

POSCAR file:
```
NdZr2Cd
1.0
3.1614 0.0000 0.0000
1.5807 2.7379 0.0000
1.5807 0.9126 11.6975
Nd Zr Cd
1 2 1
Direct
0.0000 0.0000 0.0000
0.0923 0.0923 0.7231
0.9077 0.9077 0.2769
0.5000 0.5000 0.5000
```

---

# 4
Density functional theory data (GGA-PBE) for a relaxed Sm5Dy6Tm crystal.

Summary:
- total energy (eV per atom) = -4.62
- ΔH_f (0 K) (eV/f.u.) = 0.22
- N(E_F) (states/eV per cell) = 16.51
- SG = No. 71

POSCAR file:
```
Sm5Dy6Tm
1.0
4.8454 0.0198 -1.4137
-1.3846 8.8787 -4.6241
0.1208 -0.8295 9.4149
Tm Sm Dy
1 5 6
Direct
0.0000 0.0000 0.0000
0.6657 0.1657 0.3315
0.3334 0.3334 0.6669
0.0000 0.5000 0.0000
0.6666 0.6666 0.3331
0.3343 0.8343 0.6685
0.8337 0.5847 0.6675
0.8337 0.0828 0.6675
0.5000 0.7516 0.0000
0.5000 0.2484 0.0000
0.1663 0.9172 0.3325
0.1663 0.4153 0.3325
```

---

# 5
Density functional theory data (GGA-PBE) for a relaxed SrIn3Pb3 crystal.

Summary:
- total energy (eV per atom) = -2.84
- ΔH_f (0 K) (eV/f.u.) = 1.16
- N(E_F) (states/eV per cell) = 5.25
- SG = No. 223

POSCAR file:
```
SrIn3Pb3
1.0
-4.2516 6.9890 -1.3003
-4.8127 -1.7146 6.5201
5.2321 4.1020 4.9408
Pb Sr In
6 2 6
Direct
0.0000 0.2500 0.5000
0.0000 0.7500 0.5000
0.5000 0.0000 0.7500
0.7500 0.5000 0.0000
0.5000 0.0000 0.2500
0.2500 0.5000 0.0000
0.5000 0.5000 0.5000
0.0000 0.0000 0.0000
0.2500 0.0000 0.5000
0.0000 0.5000 0.2500
0.5000 0.7500 0.0000
0.7500 0.0000 0.5000
0.0000 0.5000 0.7500
0.5000 0.2500 0.0000
```

---

# 6
Density functional theory data (GGA-PBE) for a relaxed Na8Tl2Pb3 crystal.

Summary:
- total energy (eV per atom) = -2.04
- relative energy among the computed polymorphs (meV per atom) = 69
- ΔH_f (0 K) (eV/f.u.) = -0.11
- N(E_F) (states/eV per cell) = 7.11
- SG = No. 166

POSCAR file:
```
Na8Tl2Pb3
1.0
-4.3248 2.6436 3.7949
-6.1288 -1.4239 -0.7100
-2.3043 -8.4043 8.5112
Na Tl Pb
8 2 3
Direct
0.7228 0.7228 0.8316
0.2772 0.2772 0.1684
0.2239 0.7269 0.3223
0.7269 0.2239 0.3223
0.7269 0.7269 0.3223
0.2731 0.7761 0.6777
0.7761 0.2731 0.6777
0.2731 0.2731 0.6777
0.6378 0.6378 0.0867
0.3622 0.3622 0.9133
0.0000 0.0000 0.0000
0.8163 0.8163 0.5510
0.1837 0.1837 0.4490
```

---

# 7
Density functional theory data (GGA-PBE) for a relaxed SrMo2Os crystal.

Summary:
- total energy (eV per atom) = -7.78
- relative energy among the computed polymorphs (meV per atom) = 237
- ΔH_f (0 K) (eV/f.u.) = 3.44
- N(E_F) (states/eV per cell) = 3.72
- SG = No. 160

POSCAR file:
```
SrMo2Os
1.0
-4.5563 -3.9393 8.4455
-3.9320 -6.4176 7.1386
-1.9701 -5.1347 8.7954
Mo Os Sr
2 1 1
Direct
0.9904 0.9904 0.9904
0.2461 0.2461 0.2461
0.5109 0.5109 0.5109
0.7526 0.7526 0.7526
```

---

# 8
Density functional theory data (GGA-PBE) for a relaxed Sn2Au2Br crystal.

Summary:
- total energy (eV per atom) = -3.34
- relative energy among the computed polymorphs (meV per atom) = 56
- N(E_F) (states/eV per cell) = 2.80
- SG = No. 139
- ΔE_f (raw) (eV per atom) = -0.0977

POSCAR file:
```
Sn2Au2Br
1.0
-4.3999 2.5559 -0.9251
-2.6725 -4.3890 0.5848
-4.0180 0.0311 4.7394
Au Sn Br
2 2 1
Direct
0.3624 0.3624 0.2752
0.6376 0.6376 0.7248
0.7500 0.2500 0.5000
0.2500 0.7500 0.5000
0.0000 0.0000 0.0000
```

---

# 9
Density functional theory data (GGA-PBE) for a relaxed TaTlTe4 crystal.

Summary:
- total energy (eV per atom) = -4.63
- relative energy among the computed polymorphs (meV per atom) = 47
- N(E_F) (states/eV per cell) = 8.42
- SG = No. 12
- ΔE_f (raw) (eV per atom) = -0.1638

POSCAR file:
```
TaTlTe4
1.0
6.0614 0.0000 0.4482
0.0000 8.4560 0.0000
-1.1453 -4.2280 7.7992
Ta Tl Te
2 2 8
Direct
0.2689 0.5174 0.0348
0.7311 0.4826 0.9652
0.7700 0.7915 0.5830
0.2300 0.2085 0.4170
0.2402 0.6956 0.3912
0.3971 0.1785 0.7803
0.0000 0.2272 0.0000
0.6029 0.3982 0.2197
0.7598 0.3044 0.6088
0.6029 0.8215 0.2197
0.0000 0.7728 0.0000
0.3971 0.6018 0.7803
```

---

# 10
Density functional theory data (GGA-PBE) for a relaxed CaLa2Dy crystal.

Summary:
- total energy (eV per atom) = -4.02
- relative energy among the computed polymorphs (meV per atom) = 58
- ΔH_f (0 K) (eV/f.u.) = 0.38
- N(E_F) (states/eV per cell) = 6.23
- SG = No. 123

POSCAR file:
```
CaLa2Dy
1.0
4.9806 0.0000 0.0000
0.0000 5.4045 0.0000
0.0000 0.0000 5.4045
Ca La Dy
1 2 1
Direct
0.5000 0.5000 0.5000
0.0000 0.0000 0.5000
0.0000 0.5000 0.0000
0.5000 0.0000 0.0000
```

---

# 11
Density functional theory data (GGA-PBE) for a relaxed Na8Tl6Cd crystal.

Summary:
- total energy (eV per atom) = -1.77
- relative energy among the computed polymorphs (meV per atom) = 6
- ΔH_f (0 K) (eV/f.u.) = -0.90
- N(E_F) (states/eV per cell) = 7.57
- SG = No. 148

POSCAR file:
```
Na8Tl6Cd
1.0
-1.2246 -2.7717 7.8811
3.0049 -7.6543 1.9172
6.7445 -0.3479 5.0679
Na Tl Cd
8 6 1
Direct
0.1403 0.6425 0.8416
0.1584 0.8597 0.3575
0.3575 0.1584 0.8597
0.5971 0.5971 0.5971
0.4029 0.4029 0.4029
0.6425 0.8416 0.1403
0.8416 0.1403 0.6425
0.8597 0.3575 0.1584
0.9829 0.4334 0.7150
0.2850 0.0171 0.5666
0.5666 0.2850 0.0171
0.4334 0.7150 0.9829
0.7150 0.9829 0.4334
0.0171 0.5666 0.2850
0.0000 0.0000 0.0000
```

---

# 12
Density functional theory data (GGA-PBE) for a relaxed Co5Rh crystal.

Summary:
- total energy (eV per atom) = -7.13
- ΔH_f (0 K) (eV/f.u.) = 0.13
- N(E_F) (states/eV per cell) = 5.06
- SG = No. 8

POSCAR file:
```
Co5Rh
1.0
4.8251 0.0002 0.0029
4.1372 2.4829 0.0029
-7.4910 -2.0754 5.7967
Co Rh
5 1
Direct
0.9917 0.9917 0.9935
0.1079 0.1079 0.7164
0.3278 0.3278 0.6603
0.4505 0.4505 0.3982
0.6766 0.6766 0.3389
0.7789 0.7789 0.0594
```

---

# 13
Density functional theory data (GGA-PBE) for a relaxed PrY2In6 crystal.

Summary:
- total energy (eV per atom) = -4.23
- relative energy among the computed polymorphs (meV per atom) = 0
- ΔH_f (0 K) (eV/f.u.) = -3.89
- N(E_F) (states/eV per cell) = 3.01
- SG = No. 191

POSCAR file:
```
PrY2In6
1.0
-3.5200 0.5933 -0.6842
-0.6328 -7.8566 -3.5568
-1.4672 1.0483 8.4573
Pr Y In
1 2 6
Direct
0.0000 0.0000 0.0000
0.0000 0.3333 0.6667
0.0000 0.6667 0.3333
0.5000 0.3352 0.3352
0.5000 0.6648 0.6648
0.5000 0.0000 0.6648
0.5000 0.6648 0.0000
0.5000 0.3352 0.0000
0.5000 0.0000 0.3352
```

---

# 14
Density functional theory data (GGA-PBE) for a relaxed RePt2Rh6 crystal.

Summary:
- total energy (eV per atom) = -7.72
- relative energy among the computed polymorphs (meV per atom) = 0
- ΔH_f (0 K) (eV/f.u.) = -0.84
- N(E_F) (states/eV per cell) = 8.03
- SG = No. 12

POSCAR file:
```
RePt2Rh6
1.0
3.7147 0.0000 -1.1108
-0.5855 5.7836 -1.9578
-0.1962 0.1093 6.1104
Re Pt Rh
1 2 6
Direct
0.5000 0.5000 0.0000
0.9452 0.1705 0.8904
0.0548 0.8295 0.1096
0.3857 0.8213 0.7714
0.6143 0.1787 0.2286
0.7223 0.8252 0.4445
0.1614 0.5016 0.3228
0.2777 0.1748 0.5555
0.8386 0.4984 0.6772
```

---

# 15
Density functional theory data (GGA-PBE) for a relaxed SnBNF2 crystal.

Summary:
- total energy (eV per atom) = -5.57
- relative energy among the computed polymorphs (meV per atom) = 0
- N(E_F) (states/eV per cell) = 0.59
- SG = No. 123
- ΔE_f (raw) (eV per atom) = -1.0248

POSCAR file:
```
SnBNF2
1.0
4.6157 0.0000 0.0000
0.0000 4.6157 0.0000
0.0000 0.0000 2.7461
B N Sn F
1 1 1 2
Direct
0.0000 0.0000 0.0000
0.0000 0.0000 0.5000
0.5000 0.5000 0.5000
0.0000 0.5000 0.0000
0.5000 0.0000 0.0000
```

---

# 16
Density functional theory data (GGA-PBE) for a relaxed RbSc3Ir crystal.

Summary:
- total energy (eV per atom) = -4.10
- relative energy among the computed polymorphs (meV per atom) = 1728
- ΔH_f (0 K) (eV/f.u.) = 8.33
- N(E_F) (states/eV per cell) = 3.70
- SG = No. 221

POSCAR file:
```
RbSc3Ir
1.0
4.8077 0.0000 0.0000
0.0000 4.8077 0.0000
0.0000 0.0000 4.8077
Sc Ir Rb
3 1 1
Direct
0.0000 0.5000 0.0000
0.0000 0.0000 0.5000
0.5000 0.0000 0.0000
0.5000 0.5000 0.5000
0.0000 0.0000 0.0000
```

---

# 17
Density functional theory data (GGA-PBE) for a relaxed Ta3Nb3Re crystal.

Summary:
- total energy (eV per atom) = -10.92
- ΔH_f (0 K) (eV/f.u.) = 1.80
- N(E_F) (states/eV per cell) = 12.20
- SG = No. 63

POSCAR file:
```
Ta3Nb3Re
1.0
-4.1710 1.8313 -1.1149
-0.0560 -4.2533 -6.7767
-3.1892 -3.2617 6.5733
Ta Nb Re
6 6 2
Direct
0.2500 0.6388 0.7705
0.2500 0.2295 0.3612
0.2500 0.0525 0.9475
0.7500 0.3612 0.2295
0.7500 0.7705 0.6388
0.7500 0.9475 0.0525
0.7500 0.5803 0.9595
0.7500 0.0405 0.4197
0.7500 0.1898 0.8102
0.2500 0.4197 0.0405
0.2500 0.9595 0.5803
0.2500 0.8102 0.1898
0.7500 0.4163 0.5837
0.2500 0.5837 0.4163
```

---

# 18
Density functional theory data (GGA-PBE) for a relaxed HoSnGeRh2 crystal.

Summary:
- total energy (eV per atom) = -6.18
- ΔH_f (0 K) (eV/f.u.) = -3.02
- N(E_F) (states/eV per cell) = 5.33
- SG = No. 63

POSCAR file:
```
HoSnGeRh2
1.0
-3.1817 1.6285 2.6543
1.8464 -6.3753 2.3909
4.7446 2.8510 3.9381
Ho Sn Ge Rh
2 2 2 4
Direct
0.3689 0.7379 0.7500
0.6311 0.2621 0.2500
0.6713 0.3425 0.7500
0.3287 0.6575 0.2500
0.0000 0.0000 0.0000
0.0000 0.0000 0.5000
0.1772 0.3545 0.9760
0.8228 0.6455 0.0240
0.1772 0.3545 0.5240
0.8228 0.6455 0.4760
```

---

# 19
Density functional theory data (GGA-PBE) for a relaxed MgSc2Cd3 crystal.

Summary:
- total energy (eV per atom) = -3.07
- relative energy among the computed polymorphs (meV per atom) = 6
- ΔH_f (0 K) (eV/f.u.) = -1.43
- N(E_F) (states/eV per cell) = 3.11
- SG = No. 123

POSCAR file:
```
MgSc2Cd3
1.0
-1.0585 -3.0837 1.2978
3.2348 -1.2908 -0.4289
2.5926 3.2381 9.8083
Mg Sc Cd
1 2 3
Direct
0.5000 0.5000 0.5000
0.5000 0.5000 0.8323
0.5000 0.5000 0.1677
0.0000 0.0000 0.0000
0.0000 0.0000 0.6674
0.0000 0.0000 0.3326
```

---

# 20
Density functional theory data (GGA-PBE) for a relaxed Tl3Cu5Br12 crystal.

Summary:
- total energy (eV per atom) = -2.81
- N(E_F) (states/eV per cell) = 102.43
- SG = No. 230
- ΔE_f (raw) (eV per atom) = -0.4265

POSCAR file:
```
Tl3Cu5Br12
1.0
-3.1395 12.3932 6.8800
5.0201 -9.7049 9.5602
10.1100 2.5064 -10.1138
Tl Cu Br
12 20 48
Direct
0.7500 0.3750 0.1250
0.8750 0.7500 0.1250
0.3750 0.7500 0.6250
0.2500 0.1250 0.3750
0.8750 0.1250 0.2500
0.3750 0.6250 0.2500
0.6250 0.3750 0.7500
0.1250 0.8750 0.7500
0.7500 0.8750 0.6250
0.6250 0.2500 0.3750
0.1250 0.2500 0.8750
0.2500 0.6250 0.8750
0.1250 0.3750 0.2500
0.0000 0.5000 0.0000
0.0000 0.0000 0.0000
0.3750 0.2500 0.1250
0.5000 0.0000 0.5000
0.5000 0.5000 0.0000
0.1250 0.7500 0.3750
0.7500 0.1250 0.8750
0.7500 0.6250 0.3750
0.3750 0.1250 0.7500
0.6250 0.8750 0.2500
0.5000 0.5000 0.5000
0.5000 0.0000 0.0000
0.0000 0.0000 0.5000
0.2500 0.3750 0.6250
0.2500 0.8750 0.1250
0.0000 0.5000 0.5000
0.8750 0.2500 0.6250
0.6250 0.7500 0.8750
0.8750 0.6250 0.7500
0.6909 0.1095 0.0101
0.3192 0.5101 0.4006
0.9899 0.3905 0.3091
0.5101 0.1909 0.1095
0.5814 0.6909 0.6808
0.9899 0.5994 0.1808
0.3192 0.8091 0.4186
0.0994 0.9186 0.1095
0.5994 0.9899 0.6808
0.6909 0.5814 0.1808
0.8091 0.4899 0.3905
0.8192 0.9006 0.0101
0.1095 0.6909 0.5101
0.3905 0.4006 0.0814
0.0814 0.9006 0.3905
0.4186 0.1095 0.5994
0.0814 0.1808 0.1909
0.4899 0.6808 0.0994
0.8192 0.9186 0.3091
0.1095 0.4186 0.0994
0.3905 0.9899 0.8091
0.5994 0.6095 0.4186
0.9006 0.8192 0.5101
0.8091 0.3192 0.9186
0.4006 0.3905 0.5814
0.0994 0.1808 0.4899
0.1909 0.6808 0.0814
0.1808 0.0814 0.6909
0.6095 0.0101 0.1909
0.8905 0.5814 0.9006
0.5101 0.3192 0.9006
0.5814 0.8905 0.4006
0.9186 0.8192 0.8091
0.9186 0.0994 0.6095
0.8905 0.3091 0.4899
0.1808 0.0994 0.9899
0.6095 0.5994 0.9186
0.4006 0.0101 0.3192
0.3091 0.4186 0.8192
0.1909 0.5101 0.6095
0.9006 0.0814 0.8905
0.6808 0.1909 0.5814
0.4899 0.8091 0.8905
0.0101 0.4006 0.8192
0.4186 0.3091 0.3192
0.0101 0.6095 0.6909
0.6808 0.4899 0.5994
0.3091 0.8905 0.9899
```